# HoTmSN

An optimized crystal structure of HoTmSN (GGA-PBE, Alexandria).

The value obtained for the volume is 17.16 Å³ per atom. The calculation puts the size of the total moment at 0.000 Bohr magnetons per cell. Its theoretical density is 9.19 g/cm3. The calculation puts the formation energy (no corrections) at -1.8764 eV per atom. The value obtained for the total energy is -7.2520 eV/atom.

The structure belongs to space group R3m (No. 160, hexagonal axes); the cell edges are 3.5767, 3.5767 and 18.5891 Å and the angles 90.00°, 90.00° and 120.00°. Symmetry generates all atoms from Ho at (0.0000, 0.0000, 0.0000), Tm at (0.0000, 0.0000, 0.4721), S at (0.0000, 0.0000, 0.2350) and N at (0.0000, 0.0000, 0.7379).

---

# ThSi4Rh12

An optimized crystal structure of ThSi4Rh12 (GGA-PBE, Alexandria).

The value obtained for the volume is 16.45 Å³ per atom. The calculation puts the size of the total moment at 0.000 Bohr magnetons per cell. Its theoretical density is 9.38 g/cm3. The calculation puts the formation energy (no corrections) at -0.2460 eV per atom. The value obtained for the total energy is -7.1477 eV/atom.

The structure belongs to space group Im-3 (No. 204); the cell edges are 8.238, 8.238 and 8.238 Å and the angles 90.00°, 90.00° and 90.00°. Symmetry generates all atoms from Th at (0.000, 0.000, 0.000), Si at (0.250, 0.250, 0.250) and Rh at (0.000, 0.158, 0.337).

---

Please write out number 1 again, unchanged.
# HoTmSN

An optimized crystal structure of HoTmSN (GGA-PBE, Alexandria).

The value obtained for the volume is 17.16 Å³ per atom. The calculation puts the size of the total moment at 0.000 Bohr magnetons per cell. Its theoretical density is 9.19 g/cm3. The calculation puts the formation energy (no corrections) at -1.8764 eV per atom. The value obtained for the total energy is -7.2520 eV/atom.

The structure belongs to space group R3m (No. 160, hexagonal axes); the cell edges are 3.5767, 3.5767 and 18.5891 Å and the angles 90.00°, 90.00° and 120.00°. Symmetry generates all atoms from Ho at (0.0000, 0.0000, 0.0000), Tm at (0.0000, 0.0000, 0.4721), S at (0.0000, 0.0000, 0.2350) and N at (0.0000, 0.0000, 0.7379).